1.
This record from Alexandria describes an optimized crystal structure of Tb12PmSc6. The functional is PBE.

```
data_Tb12PmSc6
_chemical_formula_sum 'Tb12 Pm1 Sc6'
_space_group_name_H-M_alt 'P 1'
_space_group_IT_number 1
_cell_length_a 9.067
_cell_length_b 9.067
_cell_length_c 9.067
_cell_angle_alpha 109.47
_cell_angle_beta 109.47
_cell_angle_gamma 109.47
loop_
_space_group_symop_operation_xyz
'x,y,z'
loop_
_atom_site_label
_atom_site_type_symbol
_atom_site_fract_x
_atom_site_fract_y
_atom_site_fract_z
Tb1 Tb 0.070 0.802 0.268
Tb2 Tb 0.198 0.268 0.465
Tb3 Tb 0.198 0.732 0.930
Tb4 Tb 0.268 0.070 0.802
Tb5 Tb 0.268 0.465 0.198
Tb6 Tb 0.465 0.198 0.268
Tb7 Tb 0.535 0.802 0.732
Tb8 Tb 0.732 0.535 0.802
Tb9 Tb 0.732 0.930 0.198
Tb10 Tb 0.802 0.268 0.070
Tb11 Tb 0.802 0.732 0.535
Tb12 Tb 0.930 0.198 0.732
Pm1 Pm 0.000 0.000 0.000
Sc1 Sc 0.138 0.638 0.500
Sc2 Sc 0.362 0.500 0.862
Sc3 Sc 0.500 0.138 0.638
Sc4 Sc 0.500 0.862 0.362
Sc5 Sc 0.638 0.500 0.138
Sc6 Sc 0.862 0.362 0.500
```

Output
Energy of formation from the pure elements in meV per atom: 242
Symmetry: No. 204

***

2.
This record from Alexandria describes an optimized crystal structure of SrAcEu. The functional is PBE.

```
data_SrAcEu
_chemical_formula_sum 'Sr1 Ac1 Eu1'
_space_group_name_H-M_alt 'P 1'
_space_group_IT_number 1
_cell_length_a 4.031
_cell_length_b 4.031
_cell_length_c 9.947
_cell_angle_alpha 90.00
_cell_angle_beta 90.00
_cell_angle_gamma 120.00
loop_
_space_group_symop_operation_xyz
'x,y,z'
loop_
_atom_site_label
_atom_site_type_symbol
_atom_site_fract_x
_atom_site_fract_y
_atom_site_fract_z
Sr1 Sr 0.000 0.000 0.000
Ac1 Ac 0.667 0.333 0.342
Eu1 Eu 0.333 0.667 0.658
```

Output
Energy of formation from the pure elements in meV per atom: 36
Symmetry: No. 156

***

3.
This record from Alexandria describes an optimized crystal structure of BaSrAgI2. The functional is PBE.

```
data_BaSrAgI2
_chemical_formula_sum 'Ba1 Sr1 Ag1 I2'
_space_group_name_H-M_alt 'P 1'
_space_group_IT_number 1
_cell_length_a 6.126
_cell_length_b 6.126
_cell_length_c 8.672
_cell_angle_alpha 90.00
_cell_angle_beta 90.00
_cell_angle_gamma 90.00
loop_
_space_group_symop_operation_xyz
'x,y,z'
loop_
_atom_site_label
_atom_site_type_symbol
_atom_site_fract_x
_atom_site_fract_y
_atom_site_fract_z
Ba1 Ba 0.000 0.000 0.000
Sr1 Sr 0.000 0.000 0.500
Ag1 Ag 0.500 0.500 0.000
I1 I 0.000 0.500 0.500
I2 I 0.500 0.000 0.500
```

Output
Final energy in eV per cell: -11.73
Symmetry: No. 123

***

4.
This record from Alexandria describes an optimized crystal structure of Ba2CdAg2S4. The functional is PBE.

```
data_Ba2CdAg2S4
_chemical_formula_sum 'Ba2 Cd1 Ag2 S4'
_space_group_name_H-M_alt 'P 1'
_space_group_IT_number 1
_cell_length_a 8.157
_cell_length_b 8.157
_cell_length_c 7.330
_cell_angle_alpha 108.93
_cell_angle_beta 108.93
_cell_angle_gamma 29.00
loop_
_space_group_symop_operation_xyz
'x,y,z'
loop_
_atom_site_label
_atom_site_type_symbol
_atom_site_fract_x
_atom_site_fract_y
_atom_site_fract_z
Ba1 Ba 0.131 0.131 0.063
Ba2 Ba 0.869 0.869 0.937
Cd1 Cd 0.000 0.000 0.500
Ag1 Ag 0.322 0.322 0.497
Ag2 Ag 0.678 0.678 0.503
S1 S 0.215 0.215 0.735
S2 S 0.484 0.484 0.739
S3 S 0.516 0.516 0.261
S4 S 0.785 0.785 0.265
```

Output
Final energy in eV per cell: -36.00
Symmetry: No. 12

***

5.
This record from Alexandria describes an optimized crystal structure of Sm4TeRu. The functional is PBE.

```
data_Sm4TeRu
_chemical_formula_sum 'Sm16 Te4 Ru4'
_space_group_name_H-M_alt 'P 1'
_space_group_IT_number 1
_cell_length_a 8.367
_cell_length_b 4.056
_cell_length_c 19.788
_cell_angle_alpha 90.00
_cell_angle_beta 90.00
_cell_angle_gamma 90.00
loop_
_space_group_symop_operation_xyz
'x,y,z'
loop_
_atom_site_label
_atom_site_type_symbol
_atom_site_fract_x
_atom_site_fract_y
_atom_site_fract_z
Sm1 Sm 0.003 0.250 0.068
Sm2 Sm 0.039 0.750 0.217
Sm3 Sm 0.141 0.750 0.644
Sm4 Sm 0.143 0.750 0.451
Sm5 Sm 0.357 0.250 0.951
Sm6 Sm 0.359 0.250 0.144
Sm7 Sm 0.461 0.250 0.717
Sm8 Sm 0.497 0.750 0.568
Sm9 Sm 0.503 0.250 0.432
Sm10 Sm 0.539 0.750 0.283
Sm11 Sm 0.641 0.750 0.856
Sm12 Sm 0.643 0.750 0.049
Sm13 Sm 0.857 0.250 0.549
Sm14 Sm 0.859 0.250 0.356
Sm15 Sm 0.961 0.250 0.783
Sm16 Sm 0.997 0.750 0.932
Te1 Te 0.242 0.250 0.310
Te2 Te 0.258 0.750 0.810
Te3 Te 0.742 0.250 0.190
Te4 Te 0.758 0.750 0.690
Ru1 Ru 0.246 0.250 0.549
Ru2 Ru 0.254 0.750 0.049
Ru3 Ru 0.746 0.250 0.951
Ru4 Ru 0.754 0.750 0.451
```

Output
Final energy in eV per cell: -139.96
Symmetry: No. 62

***

6.
This record from Alexandria describes an optimized crystal structure of Pm4Y10Tm. The functional is PBE.

```
data_Pm4Y10Tm
_chemical_formula_sum 'Pm4 Y10 Tm1'
_space_group_name_H-M_alt 'P 1'
_space_group_IT_number 1
_cell_length_a 8.962
_cell_length_b 8.962
_cell_length_c 8.962
_cell_angle_alpha 101.13
_cell_angle_beta 101.13
_cell_angle_gamma 127.88
loop_
_space_group_symop_operation_xyz
'x,y,z'
loop_
_atom_site_label
_atom_site_type_symbol
_atom_site_fract_x
_atom_site_fract_y
_atom_site_fract_z
Pm1 Pm 0.230 0.230 0.459
Pm2 Pm 0.230 0.770 0.000
Pm3 Pm 0.770 0.230 0.000
Pm4 Pm 0.770 0.770 0.541
Y1 Y 0.080 0.290 0.790
Y2 Y 0.250 0.750 0.500
Y3 Y 0.290 0.080 0.790
Y4 Y 0.290 0.499 0.210
Y5 Y 0.499 0.290 0.210
Y6 Y 0.501 0.710 0.790
Y7 Y 0.710 0.501 0.790
Y8 Y 0.710 0.920 0.210
Y9 Y 0.750 0.250 0.500
Y10 Y 0.920 0.710 0.210
Tm1 Tm 0.000 0.000 0.000
```

Output
Energy of formation from the pure elements in meV per atom: 269
Symmetry: No. 139

***

7.
This record from Alexandria describes an optimized crystal structure of NiI4Cl. The functional is PBE.

```
data_NiI4Cl
_chemical_formula_sum 'Ni2 I8 Cl2'
_space_group_name_H-M_alt 'P 1'
_space_group_IT_number 1
_cell_length_a 9.906
_cell_length_b 9.906
_cell_length_c 7.180
_cell_angle_alpha 111.02
_cell_angle_beta 111.02
_cell_angle_gamma 51.87
loop_
_space_group_symop_operation_xyz
'x,y,z'
loop_
_atom_site_label
_atom_site_type_symbol
_atom_site_fract_x
_atom_site_fract_y
_atom_site_fract_z
Ni1 Ni 0.092 0.092 0.234
Ni2 Ni 0.908 0.908 0.766
I1 I 0.094 0.638 0.540
I2 I 0.207 0.793 0.000
I3 I 0.226 0.226 0.148
I4 I 0.362 0.906 0.460
I5 I 0.638 0.094 0.540
I6 I 0.774 0.774 0.852
I7 I 0.793 0.207 0.000
I8 I 0.906 0.362 0.460
Cl1 Cl 0.315 0.315 0.954
Cl2 Cl 0.685 0.685 0.046
```

Output
Final energy in eV per cell: -27.74
Symmetry: No. 12

***

8.
This record from Alexandria describes an optimized crystal structure of La2GeTe. The functional is PBE.

```
data_La2GeTe
_chemical_formula_sum 'La4 Ge2 Te2'
_space_group_name_H-M_alt 'P 1'
_space_group_IT_number 1
_cell_length_a 4.485
_cell_length_b 6.387
_cell_length_c 9.141
_cell_angle_alpha 90.00
_cell_angle_beta 90.00
_cell_angle_gamma 90.00
loop_
_space_group_symop_operation_xyz
'x,y,z'
loop_
_atom_site_label
_atom_site_type_symbol
_atom_site_fract_x
_atom_site_fract_y
_atom_site_fract_z
La1 La 0.250 0.250 0.110
La2 La 0.250 0.250 0.648
La3 La 0.750 0.750 0.352
La4 La 0.750 0.750 0.890
Ge1 Ge 0.250 0.750 0.126
Ge2 Ge 0.750 0.250 0.874
Te1 Te 0.250 0.750 0.621
Te2 Te 0.750 0.250 0.379
```

Output
Final energy in eV per cell: -45.35
Symmetry: No. 59

***

9.
This record from Alexandria describes an optimized crystal structure of CsGe5Au4. The functional is PBE.

```
data_CsGe5Au4
_chemical_formula_sum 'Cs2 Ge10 Au8'
_space_group_name_H-M_alt 'P 1'
_space_group_IT_number 1
_cell_length_a 8.888
_cell_length_b 12.893
_cell_length_c 4.356
_cell_angle_alpha 90.00
_cell_angle_beta 90.00
_cell_angle_gamma 90.00
loop_
_space_group_symop_operation_xyz
'x,y,z'
loop_
_atom_site_label
_atom_site_type_symbol
_atom_site_fract_x
_atom_site_fract_y
_atom_site_fract_z
Cs1 Cs 0.250 0.250 0.235
Cs2 Cs 0.750 0.750 0.765
Ge1 Ge 0.007 0.558 0.235
Ge2 Ge 0.007 0.942 0.235
Ge3 Ge 0.250 0.750 0.725
Ge4 Ge 0.493 0.558 0.235
Ge5 Ge 0.493 0.942 0.235
Ge6 Ge 0.507 0.058 0.765
Ge7 Ge 0.507 0.442 0.765
Ge8 Ge 0.750 0.250 0.275
Ge9 Ge 0.993 0.058 0.765
Ge10 Ge 0.993 0.442 0.765
Au1 Au 0.076 0.750 0.226
Au2 Au 0.250 0.001 0.532
Au3 Au 0.250 0.499 0.532
Au4 Au 0.424 0.750 0.226
Au5 Au 0.576 0.250 0.774
Au6 Au 0.750 0.501 0.468
Au7 Au 0.750 0.999 0.468
Au8 Au 0.924 0.250 0.774
```

Output
Energy of formation from the pure elements in meV per atom: -47
Symmetry: No. 59

***

10.
This record from Alexandria describes an optimized crystal structure of AlHg2P. The functional is PBE.

```
data_AlHg2P
_chemical_formula_sum 'Al1 Hg2 P1'
_space_group_name_H-M_alt 'P 1'
_space_group_IT_number 1
_cell_length_a 4.968
_cell_length_b 3.797
_cell_length_c 5.634
_cell_angle_alpha 90.00
_cell_angle_beta 116.05
_cell_angle_gamma 90.00
loop_
_space_group_symop_operation_xyz
'x,y,z'
loop_
_atom_site_label
_atom_site_type_symbol
_atom_site_fract_x
_atom_site_fract_y
_atom_site_fract_z
Al1 Al 0.000 0.000 0.000
Hg1 Hg 0.264 0.500 0.526
Hg2 Hg 0.598 0.000 0.197
P1 P 0.859 0.500 0.718
```

Output
Energy of formation from the pure elements in meV per atom: 32
Symmetry: No. 6

***

11.
This record from Alexandria describes an optimized crystal structure of Rb2Cu2TeSe2. The functional is PBE.

```
data_Rb2Cu2TeSe2
_chemical_formula_sum 'Rb2 Cu2 Te1 Se2'
_space_group_name_H-M_alt 'P 1'
_space_group_IT_number 1
_cell_length_a 7.122
_cell_length_b 7.122
_cell_length_c 7.952
_cell_angle_alpha 99.04
_cell_angle_beta 99.04
_cell_angle_gamma 33.10
loop_
_space_group_symop_operation_xyz
'x,y,z'
loop_
_atom_site_label
_atom_site_type_symbol
_atom_site_fract_x
_atom_site_fract_y
_atom_site_fract_z
Rb1 Rb 0.121 0.121 0.335
Rb2 Rb 0.879 0.879 0.665
Cu1 Cu 0.313 0.313 0.052
Cu2 Cu 0.687 0.687 0.948
Te1 Te 0.500 0.500 0.000
Se1 Se 0.187 0.187 0.781
Se2 Se 0.813 0.813 0.219
```

Output
Final energy in eV per cell: -23.67
Symmetry: No. 12

***

12.
This record from Alexandria describes an optimized crystal structure of LiLaSm2Hg4. The functional is PBE.

```
data_LiLaSm2Hg4
_chemical_formula_sum 'Li1 La1 Sm2 Hg4'
_space_group_name_H-M_alt 'P 1'
_space_group_IT_number 1
_cell_length_a 9.432
_cell_length_b 9.432
_cell_length_c 9.432
_cell_angle_alpha 32.22
_cell_angle_beta 32.22
_cell_angle_gamma 32.22
loop_
_space_group_symop_operation_xyz
'x,y,z'
loop_
_atom_site_label
_atom_site_type_symbol
_atom_site_fract_x
_atom_site_fract_y
_atom_site_fract_z
Li1 Li 0.000 0.000 0.000
La1 La 0.500 0.500 0.500
Sm1 Sm 0.257 0.257 0.257
Sm2 Sm 0.743 0.743 0.743
Hg1 Hg 0.117 0.117 0.117
Hg2 Hg 0.373 0.373 0.373
Hg3 Hg 0.627 0.627 0.627
Hg4 Hg 0.883 0.883 0.883
```

Output
Energy of formation from the pure elements in meV per atom: -446
Symmetry: No. 166

***

no.,size of the total moment (μB/cell)
1,0.0
2,7.7
3,0.9
4,0.0
5,0.0
6,0.0
7,0.0
8,0.0
9,0.0
10,0.0
11,0.0
12,0.0